No. 1
# Nb2IrOs2 | the Alexandria database | PBE | relaxed
# offset from the most stable computed form	1.07	eV per formula unit
# size of the total moment	0.00	μB/atom
# final energy	-10.2461	eV per atom
# space group	P4/mbm, No. 127
# formation energy	0.23	eV per formula unit
# crystal system	tetragonal
data_Nb2IrOs2
_symmetry_space_group_name_H-M 'P 1'
_symmetry_Int_Tables_number 1
_cell_length_a 7.325
_cell_length_b 7.325
_cell_length_c 3.088
_cell_angle_alpha 90.00
_cell_angle_beta 90.00
_cell_angle_gamma 90.00
loop_
_symmetry_equiv_pos_as_xyz
'x,y,z'
loop_
_atom_site_label
_atom_site_type_symbol
_atom_site_fract_x
_atom_site_fract_y
_atom_site_fract_z
_atom_site_occupancy
Nb1 Nb 0.168 0.332 0.000 1
Nb2 Nb 0.332 0.832 0.000 1
Nb3 Nb 0.668 0.168 0.000 1
Nb4 Nb 0.832 0.668 0.000 1
Ir1 Ir 0.000 0.000 0.500 1
Ir2 Ir 0.500 0.500 0.500 1
Os1 Os 0.133 0.633 0.500 1
Os2 Os 0.367 0.133 0.500 1
Os3 Os 0.633 0.867 0.500 1
Os4 Os 0.867 0.367 0.500 1

***

No. 2
# Nb4Ir5Os4 | the Alexandria database | PBE | relaxed
# size of the total moment	0.00	μB/atom
# final energy	-10.3025	eV per atom
# space group	I4/m, No. 87
# formation energy	-4.43	eV per formula unit
# crystal system	tetragonal
data_Nb4Ir5Os4
_symmetry_space_group_name_H-M 'P 1'
_symmetry_Int_Tables_number 1
_cell_length_a 7.436
_cell_length_b 7.436
_cell_length_c 7.436
_cell_angle_alpha 93.99
_cell_angle_beta 93.99
_cell_angle_gamma 149.41
loop_
_symmetry_equiv_pos_as_xyz
'x,y,z'
loop_
_atom_site_label
_atom_site_type_symbol
_atom_site_fract_x
_atom_site_fract_y
_atom_site_fract_z
_atom_site_occupancy
Nb1 Nb 0.141 0.772 0.913 1
Nb2 Nb 0.228 0.141 0.368 1
Nb3 Nb 0.772 0.859 0.632 1
Nb4 Nb 0.859 0.228 0.087 1
Ir1 Ir 0.000 0.000 0.000 1
Ir2 Ir 0.308 0.539 0.848 1
Ir3 Ir 0.461 0.308 0.769 1
Ir4 Ir 0.539 0.692 0.231 1
Ir5 Ir 0.692 0.461 0.152 1
Os1 Os 0.074 0.393 0.468 1
Os2 Os 0.393 0.926 0.319 1
Os3 Os 0.607 0.074 0.681 1
Os4 Os 0.926 0.607 0.532 1

***

No. 3
# Nb3Ir2Os | the Alexandria database | PBE | relaxed
# size of the total moment	0.00	μB/atom
# final energy	-10.2226	eV per atom
# space group	Cmmm, No. 65
# formation energy	-2.17	eV per formula unit
# crystal system	orthorhombic
data_Nb3Ir2Os
_symmetry_space_group_name_H-M 'P 1'
_symmetry_Int_Tables_number 1
_cell_length_a 4.129
_cell_length_b 12.287
_cell_length_c 3.831
_cell_angle_alpha 90.00
_cell_angle_beta 90.00
_cell_angle_gamma 90.00
loop_
_symmetry_equiv_pos_as_xyz
'x,y,z'
loop_
_atom_site_label
_atom_site_type_symbol
_atom_site_fract_x
_atom_site_fract_y
_atom_site_fract_z
_atom_site_occupancy
Nb1 Nb 0.000 0.000 0.000 1
Nb2 Nb 0.000 0.334 0.000 1
Nb3 Nb 0.000 0.666 0.000 1
Nb4 Nb 0.500 0.166 0.000 1
Nb5 Nb 0.500 0.500 0.000 1
Nb6 Nb 0.500 0.834 0.000 1
Ir1 Ir 0.000 0.168 0.500 1
Ir2 Ir 0.000 0.832 0.500 1
Ir3 Ir 0.500 0.332 0.500 1
Ir4 Ir 0.500 0.668 0.500 1
Os1 Os 0.000 0.500 0.500 1
Os2 Os 0.500 0.000 0.500 1

***

No. 4
# Nb2IrOs | the Alexandria database | PBE | relaxed
# offset from the most stable computed form	0.05	eV per formula unit
# size of the total moment	0.00	μB/atom
# final energy	-10.3367	eV per atom
# space group	P4/mmm, No. 123
# formation energy	-1.12	eV per formula unit
# crystal system	tetragonal
data_Nb2IrOs
_symmetry_space_group_name_H-M 'P 1'
_symmetry_Int_Tables_number 1
_cell_length_a 2.924
_cell_length_b 2.924
_cell_length_c 7.603
_cell_angle_alpha 90.00
_cell_angle_beta 90.00
_cell_angle_gamma 90.00
loop_
_symmetry_equiv_pos_as_xyz
'x,y,z'
loop_
_atom_site_label
_atom_site_type_symbol
_atom_site_fract_x
_atom_site_fract_y
_atom_site_fract_z
_atom_site_occupancy
Nb1 Nb 0.000 0.000 0.245 1
Nb2 Nb 0.000 0.000 0.755 1
Ir1 Ir 0.500 0.500 0.500 1
Os1 Os 0.500 0.500 0.000 1

***

No. 5
# Nb2IrOs | the Alexandria database | PBE | relaxed
# offset from the most stable computed form	0.00	eV per formula unit
# size of the total moment	0.00	μB/atom
# final energy	-10.3492	eV per atom
# space group	P4/mmm, No. 123
# formation energy	-1.17	eV per formula unit
# crystal system	tetragonal
data_Nb2IrOs
_symmetry_space_group_name_H-M 'P 1'
_symmetry_Int_Tables_number 1
_cell_length_a 4.130
_cell_length_b 4.130
_cell_length_c 3.801
_cell_angle_alpha 90.00
_cell_angle_beta 90.00
_cell_angle_gamma 90.00
loop_
_symmetry_equiv_pos_as_xyz
'x,y,z'
loop_
_atom_site_label
_atom_site_type_symbol
_atom_site_fract_x
_atom_site_fract_y
_atom_site_fract_z
_atom_site_occupancy
Nb1 Nb 0.000 0.500 0.000 1
Nb2 Nb 0.500 0.000 0.000 1
Ir1 Ir 0.000 0.000 0.500 1
Os1 Os 0.500 0.500 0.500 1

***

No. 6
# Nb2IrOs | the Alexandria database | PBE | relaxed
# offset from the most stable computed form	5.00	eV per formula unit
# size of the total moment	0.00	μB/atom
# final energy	-9.0993	eV per atom
# space group	I-42d, No. 122
# formation energy	3.83	eV per formula unit
# crystal system	tetragonal
data_Nb2IrOs
_symmetry_space_group_name_H-M 'P 1'
_symmetry_Int_Tables_number 1
_cell_length_a 5.815
_cell_length_b 5.815
_cell_length_c 11.516
_cell_angle_alpha 90.00
_cell_angle_beta 90.00
_cell_angle_gamma 90.00
loop_
_symmetry_equiv_pos_as_xyz
'x,y,z'
loop_
_atom_site_label
_atom_site_type_symbol
_atom_site_fract_x
_atom_site_fract_y
_atom_site_fract_z
_atom_site_occupancy
Nb1 Nb 0.249 0.250 0.125 1
Nb2 Nb 0.250 0.749 0.375 1
Nb3 Nb 0.250 0.751 0.875 1
Nb4 Nb 0.251 0.250 0.625 1
Nb5 Nb 0.749 0.750 0.625 1
Nb6 Nb 0.750 0.249 0.875 1
Nb7 Nb 0.750 0.251 0.375 1
Nb8 Nb 0.751 0.750 0.125 1
Ir1 Ir 0.000 0.000 0.500 1
Ir2 Ir 0.000 0.500 0.750 1
Ir3 Ir 0.500 0.000 0.250 1
Ir4 Ir 0.500 0.500 0.000 1
Os1 Os 0.000 0.000 0.000 1
Os2 Os 0.000 0.500 0.250 1
Os3 Os 0.500 0.000 0.750 1
Os4 Os 0.500 0.500 0.500 1

***

No. 7
# NbIrOs | the Alexandria database | PBE | relaxed
# offset from the most stable computed form	0.05	eV per formula unit
# size of the total moment	0.00	μB/atom
# final energy	-10.2977	eV per atom
# space group	P2_1/m, No. 11
# formation energy	-0.73	eV per formula unit
# crystal system	monoclinic
data_NbIrOs
_symmetry_space_group_name_H-M 'P 1'
_symmetry_Int_Tables_number 1
_cell_length_a 2.780
_cell_length_b 4.492
_cell_length_c 7.552
_cell_angle_alpha 90.00
_cell_angle_beta 97.65
_cell_angle_gamma 90.00
loop_
_symmetry_equiv_pos_as_xyz
'x,y,z'
loop_
_atom_site_label
_atom_site_type_symbol
_atom_site_fract_x
_atom_site_fract_y
_atom_site_fract_z
_atom_site_occupancy
Nb1 Nb 0.163 0.250 0.112 1
Nb2 Nb 0.837 0.750 0.888 1
Ir1 Ir 0.354 0.250 0.766 1
Ir2 Ir 0.646 0.750 0.234 1
Os1 Os 0.260 0.750 0.544 1
Os2 Os 0.740 0.250 0.456 1

***

No. 8
# Nb3IrOs | the Alexandria database | PBE | relaxed
# offset from the most stable computed form	0.00	eV per formula unit
# size of the total moment	0.00	μB/atom
# final energy	-8.8127	eV per atom
# space group	Pm-3m, No. 221
# formation energy	6.24	eV per formula unit
# crystal system	cubic
data_Nb3IrOs
_symmetry_space_group_name_H-M 'P 1'
_symmetry_Int_Tables_number 1
_cell_length_a 4.771
_cell_length_b 4.771
_cell_length_c 4.771
_cell_angle_alpha 90.00
_cell_angle_beta 90.00
_cell_angle_gamma 90.00
loop_
_symmetry_equiv_pos_as_xyz
'x,y,z'
loop_
_atom_site_label
_atom_site_type_symbol
_atom_site_fract_x
_atom_site_fract_y
_atom_site_fract_z
_atom_site_occupancy
Nb1 Nb 0.000 0.000 0.500 1
Nb2 Nb 0.000 0.500 0.000 1
Nb3 Nb 0.500 0.000 0.000 1
Ir1 Ir 0.500 0.500 0.500 1
Os1 Os 0.000 0.000 0.000 1